A geometry-optimized Si4Pd3Pt structure. Source: OQMD via LeMat-Bulk, functional PBE.

Magnetization (μB/f.u.): 0.00
Theoretical density (g/cm³): 8.97
Energy (eV/atom): -5.87

Unit cell a=4.5326 b=3.0299 c=8.4520 alpha=90.00 beta=90.09 gamma=90.00
Space group Pm (No. 6)
Unique sites:
Si1 0.0000 0.0000 0.0000 (multiplicity 1)
Si2 0.0021 0.0000 0.5020 (multiplicity 1)
Si3 0.4997 0.5000 0.3884 (multiplicity 1)
Si4 0.5027 0.5000 0.8883 (multiplicity 1)
Pd1 0.9996 0.5000 0.2657 (multiplicity 1)
Pd2 0.0025 0.5000 0.7664 (multiplicity 1)
Pd3 0.5024 0.0000 0.6258 (multiplicity 1)
Pt1 0.5000 0.0000 0.1197 (multiplicity 1)